{
  "formula": "CsBe3Hg",
  "functional": "GGA-PBEsol",
  "state": "relaxed",
  "lattice_angstrom": [[-3.380, -2.653, -1.917], [1.066, -3.498, 2.961], [-3.095, 1.693, 3.114]],
  "species": ["Be", "Be", "Be", "Cs", "Hg"],
  "frac_coords": [[0.000, 0.000, 0.500], [0.000, 0.500, 0.000], [0.500, 0.000, 0.000], [0.500, 0.500, 0.500], [0.000, 0.000, 0.000]],
  "sg": "No. 221",
  "magmom_total_mub_per_atom": 0.00
}



{
  "formula": "CsBe3I",
  "functional": "GGA-PBEsol",
  "state": "relaxed",
  "lattice_angstrom": [[5.322, 0.000, 0.000], [0.000, 5.322, 0.000], [0.000, 0.000, 5.322]],
  "species": ["Be", "Be", "Be", "I", "Cs"],
  "frac_coords": [[0.000, 0.500, 0.000], [0.000, 0.000, 0.500], [0.500, 0.000, 0.000], [0.000, 0.000, 0.000], [0.500, 0.500, 0.500]],
  "e_form_raw_ev_per_atom": 1.54,
  "sg": "No. 221",
  "magmom_total_mub_per_atom": 0.00
}



{
  "formula": "CsBeSbI2",
  "functional": "GGA-PBEsol",
  "state": "relaxed",
  "lattice_angstrom": [[-1.882, -4.225, -1.011], [2.645, 0.080, -5.254], [4.706, -2.653, 2.329]],
  "species": ["I", "I", "Cs", "Be", "Sb"],
  "frac_coords": [[0.000, 0.500, 0.000], [0.000, 0.000, 0.500], [0.500, 0.500, 0.500], [0.000, 0.000, 0.000], [0.500, 0.000, 0.000]],
  "e_form_raw_ev_per_atom": -0.28,
  "sg": "No. 123",
  "magmom_total_mub_per_atom": 0.00
}



{
  "formula": "CsBeTe2I",
  "functional": "GGA-PBEsol",
  "state": "relaxed",
  "lattice_angstrom": [[5.039, 0.000, 0.000], [0.000, 5.039, 0.000], [0.000, 0.000, 6.225]],
  "species": ["Te", "Te", "Be", "I", "Cs"],
  "frac_coords": [[0.500, 0.000, 0.000], [0.000, 0.500, 0.000], [0.000, 0.000, 0.000], [0.000, 0.000, 0.500], [0.500, 0.500, 0.500]],
  "e_form_raw_ev_per_atom": -0.29,
  "sg": "No. 123",
  "magmom_total_mub_per_atom": 0.00
}



{
  "formula": "CsBe3In",
  "functional": "GGA-PBEsol",
  "state": "relaxed",
  "lattice_angstrom": [[-3.604, -4.095, 0.072], [3.191, -2.868, -3.369], [2.567, -2.183, 4.290]],
  "species": ["Be", "Be", "Be", "In", "Cs"],
  "frac_coords": [[0.000, 0.000, 0.500], [0.000, 0.500, 0.000], [0.500, 0.000, 0.000], [0.500, 0.500, 0.500], [0.000, 0.000, 0.000]],
  "sg": "No. 221",
  "magmom_total_mub_per_atom": 0.00
}



{
  "formula": "Cs2KBeIn",
  "functional": "GGA-PBEsol",
  "state": "relaxed",
  "lattice_angstrom": [[6.249, 0.000, 0.000], [0.000, 6.674, 0.000], [0.000, 0.000, 6.674]],
  "species": ["In", "Be", "Cs", "Cs", "K"],
  "frac_coords": [[0.500, 0.500, 0.500], [0.000, 0.000, 0.000], [0.000, 0.000, 0.500], [0.000, 0.500, 0.000], [0.500, 0.000, 0.000]],
  "sg": "No. 123",
  "magmom_total_mub_per_atom": 0.00
}



{
  "formula": "CsBe2SbIr",
  "functional": "GGA-PBEsol",
  "state": "relaxed",
  "lattice_angstrom": [[4.873, 0.000, 0.000], [0.000, 4.873, 0.000], [0.000, 0.000, 5.061]],
  "species": ["Cs", "Ir", "Sb", "Be", "Be"],
  "frac_coords": [[0.500, 0.500, 0.500], [0.000, 0.000, 0.500], [0.000, 0.000, 0.000], [0.500, 0.000, 0.000], [0.000, 0.500, 0.000]],
  "e_form_raw_ev_per_atom": 1.14,
  "sg": "No. 123",
  "magmom_total_mub_per_atom": 0.00
}



{
  "formula": "CsLa2Be",
  "functional": "GGA-PBEsol",
  "state": "relaxed",
  "lattice_angstrom": [[-0.113, -0.038, 6.951], [-5.658, -1.985, -3.519], [4.873, -4.653, -1.715]],
  "species": ["La", "La", "La", "La", "Cs", "Cs", "Be", "Be"],
  "frac_coords": [[0.834, 0.875, 0.459], [0.125, 0.584, 0.959], [0.625, 0.166, 0.041], [0.416, 0.375, 0.541], [0.250, 0.750, 0.500], [0.000, 0.000, 0.000], [0.500, 0.500, 0.000], [0.750, 0.250, 0.500]],
  "sg": "No. 122",
  "magmom_total_mub_per_atom": 0.00
}



{
  "formula": "CsLaBe2Ru",
  "functional": "GGA-PBEsol",
  "state": "relaxed",
  "lattice_angstrom": [[-4.089, 2.339, -0.722], [-2.816, -5.061, -0.452], [-0.988, 0.039, 5.725]],
  "species": ["Be", "Be", "La", "Ru", "Cs"],
  "frac_coords": [[0.000, 0.500, 0.000], [0.000, 0.000, 0.500], [0.000, 0.000, 0.000], [0.500, 0.000, 0.000], [0.500, 0.500, 0.500]],
  "sg": "No. 123",
  "magmom_total_mub_per_atom": 0.00
}



{
  "formula": "Cs2LiBe",
  "functional": "GGA-PBEsol",
  "state": "relaxed",
  "lattice_angstrom": [[-5.013, -1.195, 3.729], [-4.184, -4.502, -1.642], [-0.287, -5.431, 3.299]],
  "species": ["Be", "Li", "Cs", "Cs"],
  "frac_coords": [[0.500, 0.500, 0.500], [0.000, 0.000, 0.000], [0.250, 0.250, 0.250], [0.750, 0.750, 0.750]],
  "sg": "No. 225",
  "magmom_total_mub_per_atom": 0.00
}



{
  "formula": "CsNaLiBe2",
  "functional": "GGA-PBEsol",
  "state": "relaxed",
  "lattice_angstrom": [[5.327, 0.000, 0.000], [0.000, 5.327, 0.000], [0.000, 0.000, 6.136]],
  "species": ["Na", "Be", "Be", "Cs", "Li"],
  "frac_coords": [[0.000, 0.000, 0.000], [0.500, 0.000, 0.000], [0.000, 0.500, 0.000], [0.000, 0.000, 0.500], [0.500, 0.500, 0.500]],
  "sg": "No. 123",
  "magmom_total_mub_per_atom": 0.00
}



{
  "formula": "CsLiBe2Pt",
  "functional": "GGA-PBEsol",
  "state": "relaxed",
  "lattice_angstrom": [[4.661, 0.000, 0.000], [0.000, 4.692, 0.000], [0.000, 0.000, 4.692]],
  "species": ["Li", "Be", "Be", "Pt", "Cs"],
  "frac_coords": [[0.000, 0.000, 0.000], [0.000, 0.500, 0.000], [0.000, 0.000, 0.500], [0.500, 0.000, 0.000], [0.500, 0.500, 0.500]],
  "sg": "No. 123",
  "magmom_total_mub_per_atom": 0.00
}



Number 1: N(E_F) 0.621 states/eV/atom, electronic total energy -1.880 eV/atom, calculated density 5.7 g/cm³. Number 2: N(E_F) 0.880 states/eV/atom, electronic total energy -1.398 eV/atom, calculated density 3.2 g/cm³. Number 3: N(E_F) 0.619 states/eV/atom, electronic total energy -2.884 eV/atom, calculated density 5.2 g/cm³. Number 4: N(E_F) 0.982 states/eV/atom, electronic total energy -3.040 eV/atom, calculated density 5.5 g/cm³. Number 5: N(E_F) 0.656 states/eV/atom, electronic total energy -0.878 eV/atom, calculated density 2.8 g/cm³. Number 6: N(E_F) 0.663 states/eV/atom, electronic total energy -1.298 eV/atom, calculated density 2.6 g/cm³. Number 7: N(E_F) 0.533 states/eV/atom, electronic total energy -3.522 eV/atom, calculated density 6.4 g/cm³. Number 8: N(E_F) 1.154 states/eV/atom, electronic total energy -3.201 eV/atom, calculated density 5.5 g/cm³. Number 9: N(E_F) 1.239 states/eV/atom, electronic total energy -3.368 eV/atom, calculated density 4.0 g/cm³. Number 10: N(E_F) 1.007 states/eV/atom, electronic total energy -1.206 eV/atom, calculated density 2.6 g/cm³. Number 11: N(E_F) 0.743 states/eV/atom, electronic total energy -1.150 eV/atom, calculated density 1.7 g/cm³. Number 12: N(E_F) 0.530 states/eV/atom, electronic total energy -2.532 eV/atom, calculated density 5.7 g/cm³.